Record 1
DFT (PBE-GGA) results for an optimized crystal structure of Ga3TeAs.

Cell: 5.1133 5.1133 5.1133 Å, 90.00 90.00 90.00°
Positions (direct):
1 As 0.0000 0.0000 0.0000
2 Te 0.5000 0.5000 0.5000
3 Ga 0.0000 0.5000 0.0000
4 Ga 0.0000 0.0000 0.5000
5 Ga 0.5000 0.0000 0.0000

Computed properties:
Distance to the lowest polymorph of the same formula: 0 meV/atom
Formation energy without anion corrections: 0.15 eV/atom

Record 2
DFT (PBE-GGA) results for an optimized crystal structure of PrPuInAg.

Cell: 5.3813 5.3813 5.3813 Å, 60.00 60.00 60.00°
Positions (direct):
1 Pr 0.5000 0.5000 0.5000
2 In 0.7500 0.7500 0.7500
3 Ag 0.2500 0.2500 0.2500
4 Pu 0.0000 0.0000 0.0000

Computed properties:
Formation energy: -0.13 eV/atom

Record 3
DFT (PBE-GGA) results for an optimized crystal structure of Pm3SbIr.

Cell: 4.4590 8.1102 8.5974 Å, 111.82 90.00 90.00°
Positions (direct):
1 Pm 0.7500 0.6716 0.4092
2 Pm 0.2500 0.3284 0.5908
3 Pm 0.7500 0.3294 0.9280
4 Pm 0.2500 0.9477 0.7536
5 Pm 0.2500 0.6706 0.0720
6 Pm 0.7500 0.0523 0.2464
7 Sb 0.2500 0.3408 0.2092
8 Sb 0.7500 0.6592 0.7908
9 Ir 0.2500 0.9202 0.3975
10 Ir 0.7500 0.0798 0.6025

Computed properties:
Distance to the lowest polymorph of the same formula: 58 meV/atom
Formation energy without anion corrections: -0.77 eV/atom

Record 4
DFT (PBE-GGA) results for an optimized crystal structure of NaTb2PuSe4.

Cell: 4.1218 7.2195 7.1697 Å, 70.70 90.00 90.00°
Positions (direct):
1 Na 0.0000 0.5000 0.5000
2 Tb 0.0000 0.0000 0.0000
3 Tb 0.5000 0.0000 0.5000
4 Pu 0.5000 0.5000 0.0000
5 Se 0.0000 0.7544 0.7484
6 Se 0.0000 0.2456 0.2516
7 Se 0.5000 0.7584 0.2473
8 Se 0.5000 0.2416 0.7527

Computed properties:
Formation energy without anion corrections: -1.67 eV/atom

Record 5
DFT (PBE-GGA) results for an optimized crystal structure of Ta2OsPt.

Cell: 3.8616 2.9451 6.3644 Å, 65.12 90.00 90.00°
Positions (direct):
1 Os 0.5000 0.2500 0.2500
2 Pt 0.5000 0.7500 0.7500
3 Ta 0.0000 0.0155 0.0089
4 Ta 0.0000 0.4845 0.4911

Computed properties:
Formation energy: -0.41 eV/atom

Record 6
DFT (PBE-GGA) results for an optimized crystal structure of Ac2PrNd4Ho.

Cell: 3.7647 12.3611 6.5000 Å, 79.66 90.00 90.00°
Positions (direct):
1 Ac 0.0000 0.0000 0.0000
2 Ac 0.5000 0.0000 0.5000
3 Pr 0.5000 0.5000 0.0000
4 Nd 0.0000 0.7428 0.7511
5 Nd 0.0000 0.2572 0.2489
6 Nd 0.5000 0.7411 0.2539
7 Nd 0.5000 0.2589 0.7461
8 Ho 0.0000 0.5000 0.5000

Computed properties:
Formation energy: 0.04 eV/atom

Record 7
DFT (PBE-GGA) results for an optimized crystal structure of Pd3Se4.

Cell: 7.5263 7.5263 7.5263 Å, 59.98 59.98 59.98°
Positions (direct):
1 Pd 0.5000 0.0000 0.5000
2 Pd 0.0000 0.5000 0.5000
3 Pd 0.5000 0.5000 0.0000
4 Pd 0.5000 0.5000 0.5000
5 Pd 0.8749 0.8749 0.8749
6 Pd 0.1251 0.1251 0.1251
7 Se 0.7188 0.2604 0.2604
8 Se 0.7396 0.7396 0.2812
9 Se 0.7396 0.7396 0.7396
10 Se 0.2604 0.2604 0.7188
11 Se 0.7396 0.2812 0.7396
12 Se 0.2604 0.2604 0.2604
13 Se 0.2812 0.7396 0.7396
14 Se 0.2604 0.7188 0.2604

Computed properties:
Formation energy without anion corrections: -0.29 eV/atom

Record 8
DFT (PBE-GGA) results for an optimized crystal structure of HoTm3N.

Cell: 4.8819 4.8819 4.8819 Å, 90.00 90.00 90.00°
Positions (direct):
1 Tm 0.0000 0.5000 0.0000
2 Tm 0.0000 0.0000 0.5000
3 Tm 0.5000 0.0000 0.0000
4 Ho 0.5000 0.5000 0.5000
5 N 0.0000 0.0000 0.0000

Computed properties:
Formation energy without anion corrections: -0.54 eV/atom

| no. | DOS(E_F) (states/eV per cell) |
| --- | --- |
| 1 | 1.3 |
| 2 | 12.1 |
| 3 | 7.7 |
| 4 | 13.1 |
| 5 | 3.1 |
| 6 | 13.6 |
| 7 | 5.4 |
| 8 | 6.8 |